Na2AcCrH8 after structural relaxation, computed with PBE.

a b c (Å): 4.8698 4.8698 6.6652
angles (deg): 90.00 90.00 120.00
Last column: nearest neighbours and their distance in Å.
Atoms (fractional coordinates):
Na (0.6667, 0.3333, 0.1301)  10 H 2.23-2.46
Na (0.3333, 0.6667, 0.8699)  10 H 2.23-2.46
Ac (0.0000, 0.0000, 0.5000)  12 H 2.61-2.82
Cr (0.0000, 0.0000, 0.0000)  6 H 1.71
H (0.8432, 0.6863, 0.8370)  1 Cr 1.71
H (0.3137, 0.1568, 0.8370)  1 Cr 1.71
H (0.8432, 0.1568, 0.8370)  1 Cr 1.71
H (0.1568, 0.3137, 0.1630)  1 Cr 1.71
H (0.6863, 0.8432, 0.1630)  1 Cr 1.71
H (0.1568, 0.8432, 0.1630)  1 Cr 1.71
H (0.6667, 0.3333, 0.4650)  1 Na 2.23
H (0.3333, 0.6667, 0.5350)  1 Na 2.23

Values from the calculation:
E ... -3.8185 eV per atom

***

AcCrNi2H8 after structural relaxation, computed with PBE.

a b c (Å): 4.6062 4.6062 6.3210
angles (deg): 68.63 68.63 60.00
Last column: nearest neighbours and their distance in Å.
Atoms (fractional coordinates):
Ac (0.5000, 0.5000, 0.5000)  12 H 2.48-2.71
Cr (0.0000, 0.0000, 0.0000)  6 H 1.75
Ni (0.2889, 0.2889, 0.1334)  4 H 1.60-1.63
Ni (0.7111, 0.7111, 0.8666)  4 H 1.60-1.63
H (0.1961, 0.1961, 0.4118)  1 Ni 1.60
H (0.6321, 0.2925, 0.1497)  1 Ni 1.63, 1 Cr 1.75
H (0.8039, 0.8039, 0.5882)  1 Ni 1.60
H (0.9257, 0.6321, 0.1497)  1 Ni 1.63, 1 Cr 1.75
H (0.0743, 0.3679, 0.8503)  1 Ni 1.63, 1 Cr 1.75
H (0.2925, 0.9257, 0.1497)  1 Ni 1.63, 1 Cr 1.75
H (0.7075, 0.0743, 0.8503)  1 Ni 1.63, 1 Cr 1.75
H (0.3679, 0.7075, 0.8503)  1 Ni 1.63, 1 Cr 1.75

Values from the calculation:
E ... -4.4913 eV per atom
Density of states at the Fermi level ... 0.442 states/eV/atom